[1]
Density functional theory data (PBE-GGA) for crystalline AcTbErTh at its relaxed geometry.

Cell lengths 8.207, 8.207, 8.207 Å; angles 90.00, 90.00, 90.00 degrees
Space group F-43m (No. 216)
Asymmetric unit:
1 Ac 0.000 0.000 0.000 x4
2 Tb 0.250 0.250 0.250 x4
3 Er 0.250 0.250 0.750 x4
4 Th 0.000 0.000 0.500 x4

Total magnetic moment: 0.0 μB per cell
Total energy: -5.0384 eV/atom


[2]
Density functional theory data (PBE-GGA) for crystalline AcTb2ErTl2 at its relaxed geometry.

Cell lengths 5.123, 10.323, 7.151 Å; angles 90.00, 90.00, 90.00 degrees
Space group Pmc2_1 (No. 26)
Asymmetric unit:
1 Ac 0.000 0.049 0.000 x2
2 Tb 0.000 0.322 0.396 x2
3 Tb 0.500 0.451 0.101 x2
4 Er 0.500 0.207 0.716 x2
5 Tl 0.000 0.374 0.840 x2
6 Tl 0.500 0.144 0.278 x2

Total magnetic moment: 0.0 μB per cell
Total energy: -4.0044 eV/atom


[3]
Density functional theory data (PBE-GGA) for crystalline AcTbErTm at its relaxed geometry.

Cell lengths 8.192, 8.192, 8.192 Å; angles 90.00, 90.00, 90.00 degrees
Space group F-43m (No. 216)
Asymmetric unit:
1 Ac 0.000 0.000 0.000 x4
2 Tb 0.000 0.000 0.500 x4
3 Er 0.250 0.250 0.250 x4
4 Tm 0.250 0.250 0.750 x4

Total magnetic moment: 0.0 μB per cell
Total energy: -4.3250 eV/atom


[4]
Density functional theory data (PBE-GGA) for crystalline AcTb6ErTm2 at its relaxed geometry.

Cell lengths 9.247, 15.153, 9.490 Å; angles 90.00, 94.83, 90.00 degrees
Space group C2/c (No. 15)
Asymmetric unit:
1 Ac 0.000 0.031 0.250 x4
2 Tb 0.060 0.187 0.944 x8
3 Tb 0.100 0.388 0.116 x8
4 Tb 0.219 0.229 0.319 x8
5 Er 0.000 0.413 0.750 x4
6 Tm 0.239 0.444 0.451 x8

Total magnetic moment: 0.0 μB per cell
Total energy: -4.4108 eV/atom


[5]
Density functional theory data (PBE-GGA) for crystalline AcTb2Er5Tm at its relaxed geometry.

Cell lengths 8.933, 8.933, 14.877 Å; angles 90.00, 90.00, 90.00 degrees
Space group I4/mcm (No. 140)
Asymmetric unit:
1 Ac 0.000 0.000 0.250 x4
2 Tb 0.113 0.387 0.000 x8
3 Er 0.000 0.000 0.000 x4
4 Er 0.204 0.296 0.372 x16
5 Tm 0.000 0.500 0.250 x4

Total magnetic moment: 0.0 μB per cell
Total energy: -4.2334 eV/atom


[6]
Density functional theory data (PBE-GGA) for crystalline AcTbErTm at its relaxed geometry.

Cell lengths 3.6604, 3.6604, 35.2220 Å; angles 90.00, 90.00, 120.00 degrees
Space group R3m (No. 160, hexagonal axes)
Asymmetric unit:
1 Ac 0.0000 0.0000 0.0000 x3
2 Tb 0.0000 0.0000 0.2449 x3
3 Er 0.0000 0.0000 0.8324 x3
4 Tm 0.0000 0.0000 0.4204 x3

Total magnetic moment: 0.0 μB per cell
Total energy: -4.3662 eV/atom


[7]
Density functional theory data (PBE-GGA) for crystalline AcTbYEr at its relaxed geometry.

Cell lengths 8.241, 8.241, 8.241 Å; angles 90.00, 90.00, 90.00 degrees
Space group F-43m (No. 216)
Asymmetric unit:
1 Ac 0.000 0.000 0.000 x4
2 Tb 0.250 0.250 0.750 x4
3 Y 0.250 0.250 0.250 x4
4 Er 0.000 0.000 0.500 x4

Total magnetic moment: 0.0 μB per cell
Total energy: -4.8021 eV/atom


[8]
Density functional theory data (PBE-GGA) for crystalline AcTbYEr at its relaxed geometry.

Cell lengths 3.6859, 3.6859, 35.4383 Å; angles 90.00, 90.00, 120.00 degrees
Space group R3m (No. 160, hexagonal axes)
Asymmetric unit:
1 Ac 0.0000 0.0000 0.0000 x3
2 Tb 0.0000 0.0000 0.2462 x3
3 Y 0.0000 0.0000 0.4215 x3
4 Er 0.0000 0.0000 0.8343 x3

Total magnetic moment: 0.0 μB per cell
Total energy: -4.8762 eV/atom


[9]
Density functional theory data (PBE-GGA) for crystalline AcTb6Y2Er at its relaxed geometry.

Cell lengths 9.366, 15.188, 9.487 Å; angles 90.00, 94.22, 90.00 degrees
Space group C2/c (No. 15)
Asymmetric unit:
1 Ac 0.000 0.035 0.250 x4
2 Tb 0.060 0.185 0.942 x8
3 Tb 0.097 0.385 0.114 x8
4 Tb 0.221 0.228 0.319 x8
5 Y 0.240 0.446 0.449 x8
6 Er 0.000 0.412 0.750 x4

Total magnetic moment: 0.0 μB per cell
Total energy: -4.8071 eV/atom


[10]
Density functional theory data (PBE-GGA) for crystalline AcTb3Y6Er2 at its relaxed geometry.

Cell lengths 6.224, 10.773, 11.901 Å; angles 90.00, 100.00, 90.00 degrees
Space group C2/m (No. 12)
Asymmetric unit:
1 Ac 0.000 0.000 0.000 x2
2 Tb 0.000 0.167 0.500 x4
3 Tb 0.000 0.500 0.500 x2
4 Y 0.247 0.332 0.747 x8
5 Y 0.248 0.500 0.253 x4
6 Er 0.000 0.333 0.000 x4

Total magnetic moment: 0.0 μB per cell
Total energy: -5.4619 eV/atom


[11]
Density functional theory data (PBE-GGA) for crystalline AcTb6Y2Er3 at its relaxed geometry.

Cell lengths 6.209, 10.750, 11.892 Å; angles 90.00, 99.99, 90.00 degrees
Space group C2/m (No. 12)
Asymmetric unit:
1 Ac 0.000 0.000 0.000 x2
2 Tb 0.246 0.332 0.744 x8
3 Tb 0.250 0.000 0.744 x4
4 Y 0.000 0.333 0.000 x4
5 Er 0.000 0.167 0.500 x4
6 Er 0.000 0.500 0.500 x2

Total magnetic moment: 0.0 μB per cell
Total energy: -4.8429 eV/atom


[12]
Density functional theory data (PBE-GGA) for crystalline AcTb2Y5Er at its relaxed geometry.

Cell lengths 5.562, 23.866, 9.373 Å; angles 90.00, 90.00, 90.00 degrees
Space group Cmc2_1 (No. 36)
Asymmetric unit:
1 Ac 0.000 0.103 0.000 x4
2 Tb 0.000 0.330 0.252 x4
3 Tb 0.000 0.386 0.852 x4
4 Y 0.000 0.025 0.319 x4
5 Y 0.000 0.105 0.601 x4
6 Y 0.000 0.191 0.297 x4
7 Y 0.000 0.243 0.938 x4
8 Y 0.000 0.492 0.092 x4
9 Er 0.000 0.260 0.609 x4

Total magnetic moment: 0.0 μB per cell
Total energy: -5.4247 eV/atom